(1)
# Sr4IrPb

A relaxed Sr4IrPb crystal (GGA-PBE, Alexandria via LeMat-Bulk).

Cell: 6.550 6.550 6.550 Å, 60.00 60.00 60.00°
Fractional coordinates of all 6 atoms:
Sr 0.872 0.376 0.376
Ir 0.750 0.750 0.750
Sr 0.376 0.872 0.376
Pb 0.000 0.000 0.000
Sr 0.376 0.376 0.872
Sr 0.376 0.376 0.376

Summary:
Calculated total energy, eV per atom: -2.50

***

(2)
# HoErTh

A relaxed HoErTh crystal (GGA-PBE, Alexandria via LeMat-Bulk).

Cell: 3.556 3.556 8.599 Å, 90.00 90.00 120.00°
Fractional coordinates of all 3 atoms:
Ho 0.000 0.000 0.005
Th 0.667 0.333 0.334
Er 0.333 0.667 0.662

Summary:
Calculated total energy, eV per atom: -5.50

***

(3)
# Rb2NaUSe6

A relaxed Rb2NaUSe6 crystal (GGA-PBE, Alexandria via LeMat-Bulk).

Cell: 7.808 7.808 7.808 Å, 60.00 60.00 90.00°
Fractional coordinates of all 10 atoms:
Se 0.260 0.260 0.480
Se 0.740 0.260 0.000
Rb 0.250 0.750 0.500
Se 0.260 0.260 0.000
Se 0.740 0.740 0.000
Rb 0.750 0.250 0.500
U 0.500 0.500 0.000
Se 0.740 0.740 0.520
Na 0.000 0.000 0.000
Se 0.260 0.740 0.000

Summary:
ΔE_f (raw), eV per atom: -0.8269
Calculated total energy, eV per atom: -4.37

***

(4)
# Ca2AgS

A relaxed Ca2AgS crystal (GGA-PBE, Alexandria via LeMat-Bulk).

Cell: 4.055 4.055 7.718 Å, 74.77 74.77 60.00°
Fractional coordinates of all 4 atoms:
S 0.000 0.000 0.000
Ag 0.500 0.500 0.500
Ca 0.259 0.259 0.224
Ca 0.741 0.741 0.776

Summary:
ΔE_f (raw), eV per atom: -1.0500
Calculated total energy, eV per atom: -3.80

***

(5)
# SmTmRu

A relaxed SmTmRu crystal (GGA-PBE, Alexandria via LeMat-Bulk).

Cell: 6.997 6.812 6.745 Å, 90.00 90.00 103.83°
Fractional coordinates of all 12 atoms:
Sm 0.752 0.564 0.500
Sm 0.248 0.936 0.000
Sm 0.752 0.064 0.000
Tm 0.262 0.442 0.000
Ru 0.500 0.750 0.750
Tm 0.262 0.942 0.500
Ru 0.500 0.750 0.250
Sm 0.248 0.436 0.500
Ru 0.500 0.250 0.750
Ru 0.500 0.250 0.250
Tm 0.738 0.058 0.500
Tm 0.738 0.558 0.000

Summary:
Calculated total energy, eV per atom: -6.41

***

(6)
# TiBe3Sb

A relaxed TiBe3Sb crystal (GGA-PBE, Alexandria via LeMat-Bulk).

Cell: 4.516 4.516 4.516 Å, 90.00 90.00 90.00°
Each line ends with the local moment (μB).
Fractional coordinates of all 5 atoms:
Be 0.000 0.000 0.500  0.04
Be 0.500 0.000 0.000  0.14
Be 0.000 0.500 0.000  0.11
Sb 0.500 0.500 0.500  -0.02
Ti 0.000 0.000 0.000  1.03

Summary:
ΔE_f (raw), eV per atom: 1.3902
Calculated total energy, eV per atom: -3.25

***

Per-record density, kg/m³: 6267; 9952; 4467; 3489; 8945; 3546
Per-record magnetization, μB per formula unit: 0.00; 0.00; 0.00; 0.18; 0.00; 1.67